Entry from Alexandria via LeMat-Bulk: an optimized crystal structure of Nd3ZnIr8 (PBE).

Cell: 5.396 5.396 9.309 Å, 73.15 73.15 60.00°
Fractional coordinates of all 12 atoms:
Ir 0.438 0.936 0.188
Ir 0.936 0.438 0.188
Ir 0.440 0.939 0.681
Ir 0.438 0.438 0.188
Ir 0.939 0.939 0.681
Ir 0.689 0.689 0.933
Ir 0.939 0.440 0.681
Ir 0.189 0.189 0.432
Nd 0.376 0.376 0.871
Nd 0.994 0.994 0.019
Nd 0.504 0.504 0.487
Zn 0.866 0.866 0.402

Properties
energy of formation from the pure elements = -46.6 kJ/mol of atoms
total DFT energy (no corrections) = -0.565 Ry per atom
SG = R3m, No. 160

Entry from Alexandria via LeMat-Bulk: an optimized crystal structure of K3TiO (PBE).

Cell: 5.479 5.479 5.479 Å, 90.00 90.00 90.00°
Fractional coordinates of all 5 atoms:
K 0.500 0.000 0.000
K 0.000 0.500 0.000
K 0.000 0.000 0.500
O 0.000 0.000 0.000
Ti 0.500 0.500 0.500

Properties
total DFT energy (no corrections) = -0.211 Ry per atom
offset from the most stable computed form = 0.0000 eV per atom
SG = Pm-3m, No. 221
ΔE_f (raw) = 173.1 kJ/mol of formula units

Entry from Alexandria via LeMat-Bulk: an optimized crystal structure of Rb2ErTiP3O12 (PBE).

Cell: 10.317 10.317 10.317 Å, 90.00 90.00 90.00°
Fractional coordinates of all 76 atoms:
O 0.665 0.985 0.948
O 0.395 0.358 0.757
O 0.022 0.415 0.227
O 0.358 0.757 0.395
O 0.273 0.978 0.915
O 0.758 0.048 0.731
O 0.452 0.269 0.258
O 0.105 0.642 0.257
O 0.522 0.085 0.773
O 0.773 0.522 0.085
O 0.727 0.478 0.585
O 0.835 0.015 0.448
O 0.743 0.605 0.858
O 0.142 0.243 0.895
O 0.227 0.022 0.415
O 0.731 0.758 0.048
O 0.605 0.858 0.743
O 0.258 0.452 0.269
O 0.948 0.665 0.985
O 0.257 0.105 0.642
O 0.548 0.769 0.242
O 0.895 0.142 0.243
O 0.335 0.485 0.552
O 0.478 0.585 0.727
O 0.165 0.515 0.052
O 0.585 0.727 0.478
O 0.269 0.258 0.452
O 0.858 0.743 0.605
O 0.485 0.552 0.335
O 0.015 0.448 0.835
O 0.048 0.731 0.758
O 0.985 0.948 0.665
O 0.231 0.742 0.952
O 0.448 0.835 0.015
O 0.515 0.052 0.165
O 0.552 0.335 0.485
O 0.757 0.395 0.358
O 0.243 0.895 0.142
O 0.769 0.242 0.548
O 0.952 0.231 0.742
O 0.052 0.165 0.515
O 0.742 0.952 0.231
O 0.978 0.915 0.273
O 0.415 0.227 0.022
O 0.085 0.773 0.522
O 0.915 0.273 0.978
O 0.642 0.257 0.105
O 0.242 0.548 0.769
P 0.365 0.492 0.701
P 0.492 0.701 0.365
P 0.201 0.135 0.508
P 0.992 0.799 0.635
P 0.635 0.992 0.799
P 0.299 0.865 0.008
P 0.865 0.008 0.299
P 0.799 0.635 0.992
P 0.701 0.365 0.492
P 0.508 0.201 0.135
P 0.135 0.508 0.201
P 0.008 0.299 0.865
Rb 0.176 0.176 0.176
Rb 0.324 0.824 0.676
Rb 0.958 0.958 0.958
Rb 0.676 0.324 0.824
Rb 0.824 0.676 0.324
Rb 0.042 0.458 0.542
Rb 0.542 0.042 0.458
Rb 0.458 0.542 0.042
Er 0.332 0.168 0.832
Er 0.168 0.832 0.332
Er 0.668 0.668 0.668
Er 0.832 0.332 0.168
Ti 0.892 0.108 0.608
Ti 0.392 0.392 0.392
Ti 0.108 0.608 0.892
Ti 0.608 0.892 0.108

Properties
total DFT energy (no corrections) = -0.545 Ry per atom
SG = P2_13, No. 198
ΔE_f (raw) = -4887.0 kJ/mol of formula units

Entry from Alexandria via LeMat-Bulk: an optimized crystal structure of Ba2CaAs (PBE).

Cell: 4.619 4.619 11.425 Å, 78.42 78.42 60.04°
Fractional coordinates of all 4 atoms:
Ca 0.750 0.750 0.750
As 0.250 0.250 0.250
Ba 0.970 0.970 0.087
Ba 0.530 0.530 0.413

Properties
energy of formation from the pure elements = -53.0 kJ/mol of atoms
total DFT energy (no corrections) = -0.233 Ry per atom
SG = C2/m, No. 12

Entry from Alexandria via LeMat-Bulk: an optimized crystal structure of FeHg2Sb (PBE).

Cell: 3.104 5.071 5.587 Å, 90.00 90.00 90.00°
Each line ends with the local moment (μB).
Fractional coordinates of all 4 atoms:
Hg 0.000 0.000 0.000  -0.01
Hg 0.500 0.500 0.000  -0.01
Sb 0.500 0.000 0.500  -0.01
Fe 0.000 0.500 0.500  2.91

Properties
total DFT energy (no corrections) = -0.206 Ry per atom
SG = Pmmm, No. 47
ΔE_f (raw) = 188.9 kJ/mol of formula units

Entry from Alexandria via LeMat-Bulk: an optimized crystal structure of SmPuGaSn (PBE).

Cell: 5.272 5.272 5.272 Å, 60.00 60.00 60.00°
Each line ends with the local moment (μB).
Fractional coordinates of all 4 atoms:
Sm 0.500 0.500 0.500  0.12
Ga 0.750 0.750 0.750  -0.01
Pu 0.000 0.000 0.000  5.38
Sn 0.250 0.250 0.250  -0.03

Properties
energy of formation from the pure elements = -38.5 kJ/mol of atoms
total DFT energy (no corrections) = -0.509 Ry per atom
SG = F-43m, No. 216

Entry from Alexandria via LeMat-Bulk: an optimized crystal structure of Hf2In2Ge (PBE).

Cell: 7.309 7.309 4.163 Å, 90.00 90.00 90.00°
Fractional coordinates of all 10 atoms:
In 0.865 0.635 0.000
In 0.635 0.135 0.000
In 0.365 0.865 0.000
In 0.135 0.365 0.000
Hf 0.170 0.670 0.500
Hf 0.830 0.330 0.500
Hf 0.330 0.170 0.500
Hf 0.670 0.830 0.500
Ge 0.500 0.500 0.000
Ge 0.000 0.000 0.000

Properties
energy of formation from the pure elements = 17.5 kJ/mol of atoms
total DFT energy (no corrections) = -0.428 Ry per atom
offset from the most stable computed form = 0.3923 eV per atom
SG = P4/mbm, No. 127

Entry from Alexandria via LeMat-Bulk: an optimized crystal structure of Li4PdRh (PBE).

Cell: 4.779 4.779 4.779 Å, 60.00 60.00 60.00°
Fractional coordinates of all 6 atoms:
Li 0.624 0.624 0.624
Li 0.624 0.127 0.624
Li 0.624 0.624 0.127
Li 0.127 0.624 0.624
Rh 0.250 0.250 0.250
Pd 0.000 0.000 0.000

Properties
energy of formation from the pure elements = -6.4 kJ/mol of atoms
total DFT energy (no corrections) = -0.252 Ry per atom
offset from the most stable computed form = 0.1695 eV per atom
SG = F-43m, No. 216

Entry from Alexandria via LeMat-Bulk: an optimized crystal structure of Rb3Er2BiSe6 (PBE).

Cell: 7.386 7.386 8.355 Å, 98.47 98.47 120.00°
Fractional coordinates of all 12 atoms:
Rb 0.500 0.500 0.500
Rb 0.164 0.836 0.500
Rb 0.836 0.164 0.500
Se 0.278 0.278 0.804
Se 0.591 0.934 0.803
Se 0.934 0.591 0.803
Se 0.066 0.409 0.197
Se 0.722 0.722 0.196
Se 0.409 0.066 0.197
Er 0.667 0.333 0.000
Er 0.333 0.667 0.000
Bi 0.000 0.000 0.000

Properties
total DFT energy (no corrections) = -0.330 Ry per atom
SG = C2/m, No. 12
ΔE_f (raw) = -1641.0 kJ/mol of formula units

Entry from Alexandria via LeMat-Bulk: an optimized crystal structure of VRu5W2 (PBE).

Cell: 5.449 5.449 5.449 Å, 119.31 119.31 91.20°
Fractional coordinates of all 8 atoms:
Ru 0.278 0.278 0.000
Ru 0.778 0.778 0.500
Ru 0.278 0.278 0.500
Ru 0.778 0.278 0.000
Ru 0.278 0.778 0.000
V 0.778 0.778 0.000
W 0.278 0.778 0.500
W 0.778 0.278 0.500

Properties
energy of formation from the pure elements = -2.7 kJ/mol of atoms
total DFT energy (no corrections) = -0.750 Ry per atom
SG = I4/mmm, No. 139

Entry from Alexandria via LeMat-Bulk: an optimized crystal structure of LiBe3Tc (PBE).

Cell: 4.262 4.262 4.262 Å, 90.00 90.00 90.00°
Fractional coordinates of all 5 atoms:
Li 0.500 0.500 0.500
Be 0.500 0.000 0.000
Be 0.000 0.500 0.000
Be 0.000 0.000 0.500
Tc 0.000 0.000 0.000

Properties
energy of formation from the pure elements = 74.9 kJ/mol of atoms
total DFT energy (no corrections) = -0.288 Ry per atom
offset from the most stable computed form = 0.0595 eV per atom
SG = Pm-3m, No. 221

Entry from Alexandria via LeMat-Bulk: an optimized crystal structure of RbU3S9 (PBE).

Cell: 5.099 9.743 9.743 Å, 120.00 90.00 90.00°
Each line ends with the local moment (μB).
Fractional coordinates of all 13 atoms:
U 0.500 0.500 0.500  0.56
U 0.500 0.500 0.000  0.56
U 0.500 0.000 0.500  0.56
S 0.500 0.202 0.798  -0.05
S 0.500 0.798 0.595  -0.05
S 0.500 0.798 0.202  -0.05
S 0.500 0.595 0.798  -0.05
S 0.000 0.000 0.500  -0.05
S 0.500 0.405 0.202  -0.05
S 0.500 0.202 0.405  -0.05
S 0.000 0.500 0.000  -0.05
S 0.000 0.500 0.500  -0.05
Rb 0.000 0.000 0.000  0.00

Properties
total DFT energy (no corrections) = -0.485 Ry per atom
SG = P6/mmm, No. 191
ΔE_f (raw) = -1327.3 kJ/mol of formula units

Entry from Alexandria via LeMat-Bulk: an optimized crystal structure of Li3La2Mg12Cd (PBE).

Cell: 7.781 7.781 7.781 Å, 83.67 83.67 83.67°
Fractional coordinates of all 18 atoms:
Cd 0.000 0.000 0.000
La 0.607 0.607 0.607
La 0.393 0.393 0.393
Mg 0.952 0.379 0.379
Mg 0.809 0.284 0.809
Mg 0.048 0.621 0.621
Mg 0.191 0.191 0.716
Mg 0.284 0.809 0.809
Mg 0.621 0.048 0.621
Mg 0.191 0.716 0.191
Mg 0.379 0.952 0.379
Mg 0.621 0.621 0.048
Mg 0.716 0.191 0.191
Mg 0.379 0.379 0.952
Mg 0.809 0.809 0.284
Li 0.500 0.000 0.000
Li 0.000 0.500 0.000
Li 0.000 0.000 0.500

Properties
energy of formation from the pure elements = 11.4 kJ/mol of atoms
total DFT energy (no corrections) = -0.137 Ry per atom
SG = R-3m, No. 166

Entry from Alexandria via LeMat-Bulk: an optimized crystal structure of Ac3Tl2Rh7 (PBE).

Cell: 5.754 5.754 9.339 Å, 72.06 72.06 60.00°
Fractional coordinates of all 12 atoms:
Rh 0.084 0.587 0.742
Rh 0.587 0.587 0.742
Rh 0.587 0.084 0.742
Rh 0.413 0.413 0.258
Rh 0.500 0.500 0.500
Rh 0.413 0.916 0.258
Rh 0.916 0.413 0.258
Ac 0.861 0.861 0.417
Ac 0.139 0.139 0.583
Ac 0.000 0.000 0.000
Tl 0.666 0.666 0.002
Tl 0.334 0.334 0.998

Properties
energy of formation from the pure elements = -39.1 kJ/mol of atoms
total DFT energy (no corrections) = -0.449 Ry per atom
SG = R-3m, No. 166

Entry from Alexandria via LeMat-Bulk: an optimized crystal structure of BeAsSe2F (PBE).

Cell: 4.420 4.420 4.575 Å, 90.00 90.00 90.00°
Fractional coordinates of all 5 atoms:
Se 0.000 0.500 0.000
Se 0.500 0.000 0.000
Be 0.000 0.000 0.000
As 0.000 0.000 0.500
F 0.500 0.500 0.500

Properties
total DFT energy (no corrections) = -0.244 Ry per atom
offset from the most stable computed form = 0.0000 eV per atom
SG = P4/mmm, No. 123
ΔE_f (raw) = 58.8 kJ/mol of formula units

Entry from Alexandria via LeMat-Bulk: an optimized crystal structure of NaMg5Cd3 (PBE).

Cell: 6.232 8.717 8.716 Å, 120.00 90.00 90.00°
Fractional coordinates of all 18 atoms:
Cd 0.750 0.661 0.000
Cd 0.250 0.339 0.000
Cd 0.750 0.000 0.661
Cd 0.750 0.339 0.339
Cd 0.250 0.000 0.339
Cd 0.250 0.661 0.661
Mg 0.250 0.000 0.667
Mg 0.250 0.667 0.000
Mg 0.500 0.667 0.333
Mg 0.500 0.333 0.667
Mg 0.750 0.000 0.333
Mg 0.250 0.333 0.333
Mg 0.750 0.333 0.000
Mg 0.000 0.333 0.667
Mg 0.000 0.667 0.333
Mg 0.750 0.667 0.667
Na 0.000 0.000 0.000
Na 0.500 0.000 0.000

Properties
energy of formation from the pure elements = -5.6 kJ/mol of atoms
total DFT energy (no corrections) = -0.103 Ry per atom
SG = P6_3/mcm, No. 193

Entry from Alexandria via LeMat-Bulk: an optimized crystal structure of Dy4Er3Ag (PBE).

Cell: 3.529 3.529 18.867 Å, 90.00 90.00 90.00°
Fractional coordinates of all 8 atoms:
Dy 0.000 0.000 0.632
Dy 0.000 0.000 0.898
Dy 0.000 0.000 0.102
Dy 0.000 0.000 0.368
Er 0.500 0.500 0.764
Er 0.500 0.500 0.500
Er 0.500 0.500 0.236
Ag 0.500 0.500 0.000

Properties
energy of formation from the pure elements = -5.2 kJ/mol of atoms
total DFT energy (no corrections) = -0.325 Ry per atom
SG = P4/mmm, No. 123

Entry from Alexandria via LeMat-Bulk: an optimized crystal structure of HgTeIr3 (PBE).

Cell: 4.866 4.866 4.866 Å, 90.00 90.00 90.00°
Fractional coordinates of all 5 atoms:
Ir 0.000 0.500 0.000
Ir 0.000 0.000 0.500
Ir 0.500 0.000 0.000
Hg 0.500 0.500 0.500
Te 0.000 0.000 0.000

Properties
total DFT energy (no corrections) = -0.326 Ry per atom
offset from the most stable computed form = 0.0000 eV per atom
SG = Pm-3m, No. 221
ΔE_f (raw) = 757.6 kJ/mol of formula units

Entry from Alexandria via LeMat-Bulk: an optimized crystal structure of Cs2CuGeBr5 (PBE).

Cell: 4.308 10.935 14.429 Å, 90.00 90.00 101.36°
Fractional coordinates of all 18 atoms:
Cs 0.874 0.749 0.800
Cs 0.118 0.236 0.700
Cs 0.126 0.251 0.300
Cs 0.882 0.764 0.200
Br 0.295 0.591 0.373
Br 0.714 0.428 0.139
Br 0.064 0.129 0.036
Br 0.665 0.329 0.501
Br 0.705 0.409 0.873
Br 0.493 0.986 0.307
Br 0.936 0.871 0.536
Br 0.335 0.671 0.001
Br 0.507 0.014 0.807
Br 0.286 0.572 0.639
Ge 0.787 0.574 0.507
Ge 0.213 0.426 0.007
Cu 0.548 0.097 0.961
Cu 0.452 0.903 0.461

Properties
total DFT energy (no corrections) = -0.230 Ry per atom
SG = Cmc2_1, No. 36
ΔE_f (raw) = -905.5 kJ/mol of formula units

Entry from Alexandria via LeMat-Bulk: an optimized crystal structure of Pm3NiGe3 (PBE).

Cell: 5.919 8.580 8.580 Å, 120.00 90.00 90.00°
Fractional coordinates of all 14 atoms:
Pm 0.250 0.303 0.386
Pm 0.250 0.083 0.697
Pm 0.250 0.614 0.917
Pm 0.750 0.917 0.303
Pm 0.750 0.697 0.614
Pm 0.750 0.386 0.083
Ni 0.750 0.333 0.667
Ni 0.250 0.667 0.333
Ge 0.250 0.709 0.623
Ge 0.750 0.623 0.914
Ge 0.250 0.914 0.291
Ge 0.250 0.377 0.086
Ge 0.750 0.086 0.709
Ge 0.750 0.291 0.377

Properties
energy of formation from the pure elements = -44.2 kJ/mol of atoms
total DFT energy (no corrections) = -0.389 Ry per atom
offset from the most stable computed form = 0.3428 eV per atom
SG = P6_3/m, No. 176